First-principles (GGA+U) data for crystalline Ba2PmMoO6 at its relaxed geometry, as listed in the Alexandria database.

a = 6.1365 Å, b = 6.0378 Å, c = 6.1070 Å
α = 119.63°, β = 120.33°, γ = 90.00°
With the nearest neighbours (Å) after each atom.
Sites, in units of the cell vectors:
Pm  0.0000  0.5000  0.0000  6 O 2.32-2.33
O  0.3190  0.7663  0.5325  1 Mo 2.05
O  0.6810  0.2337  0.4675  1 Mo 2.05
O  0.2411  0.7429  0.9458  1 Mo 2.00
O  0.7589  0.2571  0.0542  1 Mo 2.00
O  0.2411  0.2029  0.9458  1 Mo 2.00
O  0.7589  0.7971  0.0542  1 Mo 2.00
Mo  0.5000  0.0000  0.0000  6 O 2.00-2.05
Ba  0.7502  0.7493  0.4986  7 O 2.75-3.04
Ba  0.2498  0.2507  0.5014  7 O 2.75-3.04

Computed properties:
Space group: C2/m
Total DFT energy (no corrections) in eV/f.u.: -71.891
Crystal system: monoclinic
M_tot in μB/f.u.: 1.0